(1)
CaC | PBE-GGA | relaxed

**Energy above the lowest structure with this stoichiometry**: 61 meV per atom
**Total magnetic moment**: 0.000 μB per cell
**Energy of formation from the pure elements**: 59.9 meV per atom

Unit cell a=6.3030 b=5.4015 c=5.2018 alpha=90.00 beta=90.00 gamma=90.00
Closest atoms and distances in Å follow each position.
Element x y z (fractional)
C1 0.8982 0.5000 0.0000  1 C 1.28
C2 0.6018 0.0000 0.0000  1 C 1.28
C3 0.3982 0.0000 0.0000  1 C 1.28
C4 0.1018 0.5000 0.0000  1 C 1.28
Ca1 0.0000 0.0000 0.0000  6 C 2.51-2.78
Ca2 0.5000 0.5000 0.0000  6 C 2.51-2.78
Ca3 0.5000 0.0000 0.5000  4 C 2.68
Ca4 0.0000 0.5000 0.5000  4 C 2.68



(2)
CaC4 | PBE-GGA | relaxed

**Energy above the lowest structure with this stoichiometry**: 3686 meV per atom
**Total magnetic moment**: 0.000 μB per cell
**Energy of formation from the pure elements**: 4003.6 meV per atom

Unit cell a=4.5577 b=4.5577 c=4.5577 alpha=109.47 beta=109.47 gamma=109.47
Closest atoms and distances in Å follow each position.
Element x y z (fractional)
Ca1 0.0000 0.0000 0.0000  8 C 2.28
C1 0.5000 0.0000 0.0000  2 Ca 2.28
C2 0.0000 0.5000 0.0000  2 Ca 2.28
C3 0.5000 0.5000 0.5000  2 Ca 2.28
C4 0.0000 0.0000 0.5000  2 Ca 2.28



(3)
CaC2 | PBE-GGA | relaxed

**Energy above the lowest structure with this stoichiometry**: 286 meV per atom
**Total magnetic moment**: 0.000 μB per cell
**Energy of formation from the pure elements**: 300.5 meV per atom

Unit cell a=6.3928 b=6.3928 c=4.3753 alpha=90.00 beta=90.00 gamma=120.00
Closest atoms and distances in Å follow each position.
Element x y z (fractional)
C1 0.0000 0.7740 0.5000  2 C 1.44
C2 0.2260 0.0000 0.5000  2 C 1.44
C3 0.7740 0.7740 0.5000  2 C 1.44
C4 0.0000 0.2260 0.5000  2 C 1.44
C5 0.2260 0.2260 0.5000  2 C 1.44
C6 0.7740 0.0000 0.5000  2 C 1.44
Ca1 0.6667 0.3333 0.5000  6 C 2.54
Ca2 0.3333 0.6667 0.5000  6 C 2.54
Ca3 0.0000 0.0000 0.0000  12 C 2.62



(4)
CaC | PBE-GGA | relaxed

**Energy above the lowest structure with this stoichiometry**: 983 meV per atom
**Total magnetic moment**: 0.718 μB per cell
**Energy of formation from the pure elements**: 981.7 meV per atom

Unit cell a=4.1551 b=4.1551 c=4.2444 alpha=90.00 beta=90.00 gamma=120.00
Closest atoms and distances in Å follow each position.
Element x y z (fractional)
Ca1 0.6667 0.3333 0.7500  6 C 2.62
Ca2 0.3333 0.6667 0.2500  6 C 2.62
C1 0.0000 0.0000 0.0000  2 C 2.12
C2 0.0000 0.0000 0.5000  2 C 2.12



(5)
CaC4 | PBE-GGA | relaxed

**Energy above the lowest structure with this stoichiometry**: 1128 meV per atom
**Total magnetic moment**: 0.000 μB per cell
**Energy of formation from the pure elements**: 1445.4 meV per atom

Unit cell a=4.8325 b=4.8325 c=4.8325 alpha=140.71 beta=140.71 gamma=56.78
Closest atoms and distances in Å follow each position.
Element x y z (fractional)
C1 0.2500 0.7500 0.5000  4 C 1.69
C2 0.7500 0.2500 0.5000  4 C 1.69
C3 0.3048 0.3048 0.0000  4 C 1.69
C4 0.6952 0.6952 0.0000  4 C 1.69
Ca1 0.0000 0.0000 0.0000  18 C 2.59-2.83



(6)
CaC7 | PBE-GGA | relaxed

**Total magnetic moment**: 0.000 μB per cell
**Energy of formation from the pure elements**: 3823.4 meV per atom

Unit cell a=4.7348 b=4.7348 c=4.7348 alpha=60.00 beta=60.00 gamma=60.00
Closest atoms and distances in Å follow each position.
Element x y z (fractional)
C1 0.5000 0.0000 0.0000  10 C 2.37, 2 Ca 2.37
C2 0.0000 0.5000 0.5000  10 C 2.37, 2 Ca 2.37
C3 0.5000 0.5000 0.5000  12 C 2.37
C4 0.0000 0.5000 0.0000  10 C 2.37, 2 Ca 2.37
C5 0.5000 0.5000 0.0000  10 C 2.37, 2 Ca 2.37
C6 0.5000 0.0000 0.5000  10 C 2.37, 2 Ca 2.37
C7 0.0000 0.0000 0.5000  10 C 2.37, 2 Ca 2.37
Ca1 0.0000 0.0000 0.0000  12 C 2.37



(7)
Ca3C4 | PBE-GGA | relaxed

**Energy above the lowest structure with this stoichiometry**: 148 meV per atom
**Total magnetic moment**: 0.000 μB per cell
**Energy of formation from the pure elements**: 872.8 meV per atom

Unit cell a=7.0995 b=7.0995 c=2.7635 alpha=90.00 beta=90.00 gamma=120.00
Closest atoms and distances in Å follow each position.
Element x y z (fractional)
Ca1 0.0000 0.5000 0.0000  4 C 2.47, 2 Ca 2.76
Ca2 0.5000 0.0000 0.0000  4 C 2.47, 2 Ca 2.76
Ca3 0.5000 0.5000 0.0000  4 C 2.47, 2 Ca 2.76
C1 0.6667 0.3333 0.5000  6 Ca 2.47, 2 C 2.76
C2 0.0000 0.0000 0.2457  2 C 1.36-1.41
C3 0.0000 0.0000 0.7543  2 C 1.36-1.41
C4 0.3333 0.6667 0.5000  6 Ca 2.47, 2 C 2.76



(8)
CaC2 | PBE-GGA | relaxed

**Energy above the lowest structure with this stoichiometry**: 322 meV per atom
**Total magnetic moment**: 0.000 μB per cell
**Energy of formation from the pure elements**: 337.1 meV per atom

Unit cell a=5.1143 b=5.1143 c=5.2858 alpha=90.00 beta=90.00 gamma=149.51
Closest atoms and distances in Å follow each position.
Element x y z (fractional)
Ca1 0.6242 0.3758 0.2500  8 C 2.56-2.76, 2 Ca 2.69
Ca2 0.3758 0.6242 0.7500  8 C 2.56-2.76, 2 Ca 2.69
C1 0.3446 0.6554 0.2500  2 C 1.45
C2 0.9007 0.0993 0.2500  2 C 1.45
C3 0.0993 0.9007 0.7500  2 C 1.45
C4 0.6554 0.3446 0.7500  2 C 1.45



> The highest total magnetic moment belongs to which entry?

number 4



> Which of these has the highest energy of formation from the pure elements?

number 2



> Which of these has the highest total magnetic moment?

number 4



Please write out number 3 again, unchanged.
CaC2 | PBE-GGA | relaxed

**Energy above the lowest structure with this stoichiometry**: 286 meV per atom
**Total magnetic moment**: 0.000 μB per cell
**Energy of formation from the pure elements**: 300.5 meV per atom

Unit cell a=6.3928 b=6.3928 c=4.3753 alpha=90.00 beta=90.00 gamma=120.00
Closest atoms and distances in Å follow each position.
Element x y z (fractional)
C1 0.0000 0.7740 0.5000  2 C 1.44
C2 0.2260 0.0000 0.5000  2 C 1.44
C3 0.7740 0.7740 0.5000  2 C 1.44
C4 0.0000 0.2260 0.5000  2 C 1.44
C5 0.2260 0.2260 0.5000  2 C 1.44
C6 0.7740 0.0000 0.5000  2 C 1.44
Ca1 0.6667 0.3333 0.5000  6 C 2.54
Ca2 0.3333 0.6667 0.5000  6 C 2.54
Ca3 0.0000 0.0000 0.0000  12 C 2.62